A relaxed structure of AcPm6Pr2Nd3, computed with PBE.

Values from the calculation:
space-group type	No. 12
crystal system	monoclinic
final energy	-4.69	eV per atom
calculated density	7.01	g/cm³
density of states at the Fermi level	18.474	states/eV/f.u.
ΔH_f (0 K)	19	meV/atom
magnetic moment	0.00	μB/f.u.

abc: 6.415 6.415 12.234
angles: 95.04 95.04 120.00
Fractional coordinates of all 12 atoms:
Ac: 0.000 0.000 0.000
Pm: 0.915 0.580 0.747
Pm: 0.750 0.750 0.253
Pm: 0.085 0.420 0.253
Pm: 0.580 0.915 0.747
Pm: 0.250 0.250 0.747
Pm: 0.420 0.085 0.253
Pr: 0.333 0.667 0.000
Pr: 0.667 0.333 0.000
Nd: 0.167 0.833 0.500
Nd: 0.833 0.167 0.500
Nd: 0.500 0.500 0.500

A relaxed structure of Y2TmIn4, computed with PBE.

Values from the calculation:
space-group type	No. 139
crystal system	tetragonal
final energy	-4.38	eV per atom
calculated density	6.72	g/cm³
density of states at the Fermi level	5.540	states/eV/f.u.
ΔH_f (0 K)	-330	meV/atom
magnetic moment	0.13	μB/f.u.

abc: 5.245 5.245 8.131
angles: 108.82 108.82 90.00
Fractional coordinates of all 7 atoms:
Y: 0.750 0.750 0.500
Y: 0.250 0.250 0.500
Tm: 0.000 0.000 0.000
In: 0.387 0.887 0.774
In: 0.887 0.387 0.774
In: 0.613 0.113 0.226
In: 0.113 0.613 0.226

A relaxed structure of PrTmI, computed with PBE.

Values from the calculation:
E above lowest polymorph	0.80	eV/f.u.
space-group type	No. 156
crystal system	trigonal
final energy	-3.78	eV per atom
calculated density	7.35	g/cm³
density of states at the Fermi level	1.730	states/eV/f.u.
energy relative to the elements, uncorrected	-0.545	eV per formula unit
magnetic moment	0.00	μB/f.u.

abc: 3.853 5.440 5.440
angles: 120.00 90.00 90.00
Fractional coordinates of all 3 atoms:
Pr: 0.616 0.667 0.333
I: 0.252 0.333 0.667
Tm: 0.132 0.000 0.000

A relaxed structure of CoRu2Se, computed with PBE.

Values from the calculation:
space-group type	No. 10
crystal system	monoclinic
final energy	-6.93	eV per atom
calculated density	10.01	g/cm³
density of states at the Fermi level	4.339	states/eV/f.u.
energy relative to the elements, uncorrected	1.432	eV per formula unit
magnetic moment	1.62	μB/f.u.

abc: 3.912 2.886 5.246
angles: 72.23 90.00 90.00
Site moments in Bohr magnetons follow the coordinates.
Fractional coordinates of all 4 atoms:
Co: 0.500 0.750 0.750  1.42
Ru: 0.000 0.126 0.004  0.14
Ru: 0.000 0.374 0.496  0.14
Se: 0.500 0.250 0.250  -0.03